(1)
Compound: SrAlTl2Pd
Source: the Alexandria database
Functional: SCAN
Structure: single point on PBEsol structure

abc: 5.2911 5.2911 4.7868
angles: 90.00 90.00 90.00
Closest atoms and distances in Å follow each position.
Atoms (fractional coordinates):
Sr: 0.0000 0.0000 0.0000  8 Tl 3.57, 4 Al 3.74
Al: 0.5000 0.5000 0.0000  2 Pd 2.39
Tl: 0.0000 0.5000 0.5000  2 Pd 2.65
Tl: 0.5000 0.0000 0.5000  2 Pd 2.65
Pd: 0.5000 0.5000 0.5000  2 Al 2.39, 4 Tl 2.65

formation enthalpy at 0 K = -1.1 eV per formula unit

=====

(2)
Compound: Tb2Al9Pd3
Source: the Alexandria database
Functional: SCAN
Structure: single point on PBEsol structure

abc: 7.5888 7.5888 9.3740
angles: 90.00 90.00 60.44
Closest atoms and distances in Å follow each position.
Atoms (fractional coordinates):
Tb: 0.0072 0.6699 0.7500  11 Al 3.05-3.19, 2 Pd 3.41
Tb: 0.3301 0.9928 0.7500  11 Al 3.05-3.19, 2 Pd 3.41
Tb: 0.6699 0.0072 0.2500  11 Al 3.05-3.19, 2 Pd 3.41
Tb: 0.9928 0.3301 0.2500  11 Al 3.05-3.19, 2 Pd 3.41
Al: 0.0002 0.3347 0.5752  3 Pd 2.57-2.64, 3 Al 2.76-2.81
Al: 0.0002 0.3347 0.9248  3 Pd 2.57-2.64, 3 Al 2.76-2.81
Al: 0.9998 0.6653 0.0752  3 Pd 2.57-2.64, 3 Al 2.76-2.81
Al: 0.9998 0.6653 0.4248  3 Pd 2.57-2.64, 3 Al 2.76-2.81
Al: 0.1290 0.8710 0.2500  2 Pd 2.54, 6 Al 2.76
Al: 0.3326 0.6674 0.5556  3 Pd 2.59-2.64, 5 Al 2.76-2.85
Al: 0.3326 0.6674 0.9444  3 Pd 2.59-2.64, 5 Al 2.76-2.85
Al: 0.3347 0.0002 0.0752  3 Pd 2.57-2.64, 3 Al 2.76-2.81
Al: 0.3347 0.0002 0.4248  3 Pd 2.57-2.64, 3 Al 2.76-2.81
Al: 0.3386 0.4525 0.2500  2 Pd 2.54, 4 Al 2.74-2.79
Al: 0.4525 0.3386 0.7500  2 Pd 2.54, 4 Al 2.74-2.79
Al: 0.5475 0.6614 0.2500  2 Pd 2.54, 4 Al 2.74-2.79
Al: 0.6614 0.5475 0.7500  2 Pd 2.54, 4 Al 2.74-2.79
Al: 0.6653 0.9998 0.5752  3 Pd 2.57-2.64, 3 Al 2.76-2.81
Al: 0.6653 0.9998 0.9248  3 Pd 2.57-2.64, 3 Al 2.76-2.81
Al: 0.6674 0.3326 0.0556  3 Pd 2.59-2.64, 5 Al 2.76-2.85
Al: 0.6674 0.3326 0.4444  3 Pd 2.59-2.64, 5 Al 2.76-2.85
Al: 0.8710 0.1290 0.7500  2 Pd 2.54, 6 Al 2.76
Pd: 0.0000 0.0000 0.0000  8 Al 2.54-2.64
Pd: 0.0000 0.0000 0.5000  8 Al 2.54-2.64
Pd: 0.3284 0.3284 0.0000  8 Al 2.54-2.64
Pd: 0.3284 0.3284 0.5000  8 Al 2.54-2.64
Pd: 0.6716 0.6716 0.0000  8 Al 2.54-2.64
Pd: 0.6716 0.6716 0.5000  8 Al 2.54-2.64

formation enthalpy at 0 K = -11.3 eV per formula unit

=====

(3)
Compound: TbAlPd
Source: the Alexandria database
Functional: SCAN
Structure: single point on PBEsol structure

abc: 7.0488 7.0488 4.0490
angles: 90.00 90.00 120.00
Closest atoms and distances in Å follow each position.
Atoms (fractional coordinates):
Tb: 0.0000 0.5822 0.0000  5 Pd 2.93-2.94, 6 Al 3.17-3.26
Tb: 0.4178 0.4178 0.0000  5 Pd 2.93-2.94, 6 Al 3.17-3.26
Tb: 0.5822 0.0000 0.0000  5 Pd 2.93-2.94, 6 Al 3.17-3.26
Al: 0.0000 0.2369 0.5000  4 Pd 2.62-2.75, 2 Al 2.89
Al: 0.2369 0.0000 0.5000  4 Pd 2.62-2.75, 2 Al 2.89
Al: 0.7631 0.7631 0.5000  4 Pd 2.62-2.75, 2 Al 2.89
Pd: 0.0000 0.0000 0.0000  6 Al 2.62
Pd: 0.3333 0.6667 0.5000  3 Al 2.75, 6 Tb 2.93
Pd: 0.6667 0.3333 0.5000  3 Al 2.75, 6 Tb 2.93

formation enthalpy at 0 K = -3.0 eV per formula unit

=====

(4)
Compound: TbAlPd
Source: the Alexandria database
Functional: SCAN
Structure: single point on PBEsol structure

abc: 6.8654 4.3989 7.6892
angles: 90.00 90.00 90.00
Closest atoms and distances in Å follow each position.
Atoms (fractional coordinates):
Tb: 0.0326 0.2500 0.1797  5 Pd 2.81-3.08, 1 Al 3.05
Tb: 0.4674 0.7500 0.6797  5 Pd 2.81-3.08, 1 Al 3.05
Tb: 0.5326 0.2500 0.3203  5 Pd 2.81-3.08, 1 Al 3.05
Tb: 0.9674 0.7500 0.8203  5 Pd 2.81-3.08, 1 Al 3.05
Al: 0.1441 0.2500 0.5637  4 Pd 2.58-2.66
Al: 0.3559 0.7500 0.0637  4 Pd 2.58-2.66
Al: 0.6441 0.2500 0.9363  4 Pd 2.58-2.66
Al: 0.8559 0.7500 0.4363  4 Pd 2.58-2.66
Pd: 0.2275 0.7500 0.3837  4 Al 2.58-2.66, 1 Tb 2.81
Pd: 0.2725 0.2500 0.8837  4 Al 2.58-2.66, 1 Tb 2.81
Pd: 0.7275 0.7500 0.1163  4 Al 2.58-2.66, 1 Tb 2.81
Pd: 0.7725 0.2500 0.6163  4 Al 2.58-2.66, 1 Tb 2.81

formation enthalpy at 0 K = -3.0 eV per formula unit

=====

(5)
Compound: AlTe2Pd
Source: the Alexandria database
Functional: SCAN
Structure: single point on PBEsol structure

abc: 7.2877 7.2877 7.2877
angles: 32.10 32.10 32.10
Closest atoms and distances in Å follow each position.
Atoms (fractional coordinates):
Al: 0.0000 0.0000 0.0000  3 Pd 2.57, 3 Te 2.81
Te: 0.2181 0.2181 0.2181  3 Pd 2.67
Te: 0.7431 0.7431 0.7431  1 Pd 2.67, 3 Al 2.81
Pd: 0.6142 0.6142 0.6142  3 Al 2.57, 4 Te 2.67

E_form (uncorrected) = -0.50 eV/atom

=====

(6)
Compound: YAl2PdW
Source: the Alexandria database
Functional: SCAN
Structure: single point on PBEsol structure

abc: 4.5787 4.5787 5.0958
angles: 90.00 90.00 90.00
Closest atoms and distances in Å follow each position.
Atoms (fractional coordinates):
Y: 0.0000 0.0000 0.0000  2 Pd 2.55
Al: 0.0000 0.5000 0.5000  2 Pd 2.29
Al: 0.5000 0.0000 0.5000  2 Pd 2.29
Pd: 0.0000 0.0000 0.5000  4 Al 2.29, 2 Y 2.55
W: 0.5000 0.5000 0.0000  4 Y 3.24, 8 Al 3.43

formation enthalpy at 0 K = 2.9 eV per formula unit

=====

(7)
Compound: YAl2Pd5
Source: the Alexandria database
Functional: SCAN
Structure: single point on PBEsol structure

abc: 7.9224 7.9224 7.9224
angles: 150.14 150.14 42.73
Closest atoms and distances in Å follow each position.
Atoms (fractional coordinates):
Y: 0.0000 0.0000 0.0000  12 Pd 2.89-2.94
Al: 0.2530 0.2530 0.0000  8 Pd 2.55-2.60
Al: 0.7470 0.7470 0.0000  8 Pd 2.55-2.60
Pd: 0.1436 0.6436 0.5000  4 Al 2.55-2.60
Pd: 0.3564 0.8564 0.5000  4 Al 2.55-2.60
Pd: 0.5000 0.5000 0.0000  4 Y 2.89, 8 Pd 2.94
Pd: 0.6436 0.1436 0.5000  4 Al 2.55-2.60
Pd: 0.8564 0.3564 0.5000  4 Al 2.55-2.60

formation enthalpy at 0 K = -8.4 eV per formula unit

=====

(8)
Compound: Y2Al9Pd3
Source: the Alexandria database
Functional: SCAN
Structure: single point on PBEsol structure

abc: 7.6702 7.6702 9.5115
angles: 90.00 90.00 60.31
Closest atoms and distances in Å follow each position.
Atoms (fractional coordinates):
Y: 0.0056 0.6693 0.7500  11 Al 3.07-3.21
Y: 0.3307 0.9944 0.7500  11 Al 3.07-3.21
Y: 0.6693 0.0056 0.2500  11 Al 3.07-3.21
Y: 0.9944 0.3307 0.2500  11 Al 3.07-3.21
Al: 0.0005 0.6659 0.0757  3 Pd 2.61-2.66, 3 Al 2.78-2.86
Al: 0.0005 0.6659 0.4243  3 Pd 2.61-2.66, 3 Al 2.78-2.86
Al: 0.1277 0.8723 0.2500  2 Pd 2.57, 6 Al 2.78
Al: 0.3339 0.6661 0.5593  3 Pd 2.63-2.67, 5 Al 2.80-2.86
Al: 0.3339 0.6661 0.9407  3 Pd 2.63-2.67, 5 Al 2.80-2.86
Al: 0.3341 0.9995 0.0757  3 Pd 2.61-2.66, 3 Al 2.78-2.86
Al: 0.3341 0.9995 0.4243  3 Pd 2.61-2.66, 3 Al 2.78-2.86
Al: 0.3369 0.4548 0.2500  2 Pd 2.58, 6 Al 2.76-2.86
Al: 0.4548 0.3369 0.7500  2 Pd 2.58, 6 Al 2.76-2.86
Al: 0.5452 0.6631 0.2500  2 Pd 2.58, 6 Al 2.76-2.86
Al: 0.6631 0.5452 0.7500  2 Pd 2.58, 6 Al 2.76-2.86
Al: 0.6659 0.0005 0.5757  3 Pd 2.61-2.66, 3 Al 2.78-2.86
Al: 0.6659 0.0005 0.9243  3 Pd 2.61-2.66, 3 Al 2.78-2.86
Al: 0.6661 0.3339 0.0593  3 Pd 2.63-2.67, 5 Al 2.80-2.86
Al: 0.6661 0.3339 0.4407  3 Pd 2.63-2.67, 5 Al 2.80-2.86
Al: 0.8723 0.1277 0.7500  2 Pd 2.57, 6 Al 2.78
Al: 0.9995 0.3341 0.5757  3 Pd 2.61-2.66, 3 Al 2.78-2.86
Al: 0.9995 0.3341 0.9243  3 Pd 2.61-2.66, 3 Al 2.78-2.86
Pd: 0.0000 0.0000 0.0000  8 Al 2.57-2.66
Pd: 0.0000 0.0000 0.5000  8 Al 2.57-2.66
Pd: 0.3286 0.3286 0.0000  8 Al 2.58-2.67
Pd: 0.3286 0.3286 0.5000  8 Al 2.58-2.67
Pd: 0.6714 0.6714 0.0000  8 Al 2.58-2.67
Pd: 0.6714 0.6714 0.5000  8 Al 2.58-2.67

formation enthalpy at 0 K = -11.2 eV per formula unit

=====

(9)
Compound: YAlPd
Source: the Alexandria database
Functional: SCAN
Structure: single point on PBEsol structure

abc: 6.8690 4.4024 7.6562
angles: 90.00 90.00 90.00
Closest atoms and distances in Å follow each position.
Atoms (fractional coordinates):
Y: 0.0297 0.2500 0.1813  5 Pd 2.82-3.08, 1 Al 3.04
Y: 0.4703 0.7500 0.6813  5 Pd 2.82-3.08, 1 Al 3.04
Y: 0.5297 0.2500 0.3187  5 Pd 2.82-3.08, 1 Al 3.04
Y: 0.9703 0.7500 0.8187  5 Pd 2.82-3.08, 1 Al 3.04
Al: 0.1470 0.2500 0.5647  4 Pd 2.59-2.65
Al: 0.3530 0.7500 0.0647  4 Pd 2.59-2.65
Al: 0.6470 0.2500 0.9353  4 Pd 2.59-2.65
Al: 0.8530 0.7500 0.4353  4 Pd 2.59-2.65
Pd: 0.2254 0.7500 0.3853  4 Al 2.59-2.65, 1 Y 2.82
Pd: 0.2746 0.2500 0.8853  4 Al 2.59-2.65, 1 Y 2.82
Pd: 0.7254 0.7500 0.1147  4 Al 2.59-2.65, 1 Y 2.82
Pd: 0.7746 0.2500 0.6147  4 Al 2.59-2.65, 1 Y 2.82

formation enthalpy at 0 K = -3.1 eV per formula unit

=====

(10)
Compound: YAl2Pd2
Source: the Alexandria database
Functional: SCAN
Structure: single point on PBEsol structure

abc: 6.2910 6.2910 6.2910
angles: 142.70 142.70 53.77
Closest atoms and distances in Å follow each position.
Atoms (fractional coordinates):
Y: 0.0000 0.0000 0.0000  8 Pd 3.14, 8 Al 3.45
Al: 0.2500 0.7500 0.5000  4 Pd 2.50
Al: 0.7500 0.2500 0.5000  4 Pd 2.50
Pd: 0.3825 0.3825 0.0000  4 Al 2.50, 1 Pd 2.64
Pd: 0.6175 0.6175 0.0000  4 Al 2.50, 1 Pd 2.64

formation enthalpy at 0 K = -5.0 eV per formula unit

=====

(11)
Compound: YAlPd
Source: the Alexandria database
Functional: SCAN
Structure: single point on PBEsol structure

abc: 7.0702 7.0702 4.0175
angles: 90.00 90.00 120.00
Closest atoms and distances in Å follow each position.
Atoms (fractional coordinates):
Y: 0.0000 0.5834 0.0000  5 Pd 2.92-2.95, 6 Al 3.16-3.25
Y: 0.4166 0.4166 0.0000  5 Pd 2.92-2.95, 6 Al 3.16-3.25
Y: 0.5834 0.0000 0.0000  5 Pd 2.92-2.95, 6 Al 3.16-3.25
Al: 0.0000 0.2380 0.5000  4 Pd 2.62-2.76, 2 Al 2.91
Al: 0.2380 0.0000 0.5000  4 Pd 2.62-2.76, 2 Al 2.91
Al: 0.7620 0.7620 0.5000  4 Pd 2.62-2.76, 2 Al 2.91
Pd: 0.0000 0.0000 0.0000  6 Al 2.62
Pd: 0.3333 0.6667 0.5000  3 Al 2.76, 6 Y 2.92
Pd: 0.6667 0.3333 0.5000  3 Al 2.76, 6 Y 2.92

formation enthalpy at 0 K = -3.0 eV per formula unit

=====

(12)
Compound: Al2ZnPd2
Source: the Alexandria database
Functional: SCAN
Structure: single point on PBEsol structure

abc: 7.0160 7.0160 3.0242
angles: 90.00 90.00 90.00
Closest atoms and distances in Å follow each position.
Atoms (fractional coordinates):
Al: 0.1489 0.3511 0.0000  6 Pd 2.51-2.58
Al: 0.3511 0.8511 0.0000  6 Pd 2.51-2.58
Al: 0.6489 0.1489 0.0000  6 Pd 2.51-2.58
Al: 0.8511 0.6489 0.0000  6 Pd 2.51-2.58
Zn: 0.0000 0.0000 0.5000  4 Pd 2.68
Zn: 0.5000 0.5000 0.5000  4 Pd 2.68
Pd: 0.1487 0.6487 0.5000  6 Al 2.51-2.58, 2 Zn 2.68
Pd: 0.3513 0.1487 0.5000  6 Al 2.51-2.58, 2 Zn 2.68
Pd: 0.6487 0.8513 0.5000  6 Al 2.51-2.58, 2 Zn 2.68
Pd: 0.8513 0.3513 0.5000  6 Al 2.51-2.58, 2 Zn 2.68

formation enthalpy at 0 K = -3.8 eV per formula unit

=====

| no. | density (g/cm3) |
| --- | --- |
| 1 | 7.8 |
| 2 | 6.2 |
| 3 | 8.4 |
| 4 | 8.4 |
| 5 | 6.6 |
| 6 | 6.7 |
| 7 | 9.1 |
| 8 | 5.1 |
| 9 | 6.4 |
| 10 | 6.5 |
| 11 | 6.4 |
| 12 | 7.4 |